[1]
# Pr6Sm4Y

A relaxed structure of Pr6Sm4Y (GGA-PBE, the Alexandria database).

## Properties
Offset from the most stable computed form ... 64 meV/atom
Density of states at the Fermi level ... 14.0 states/eV/cell
Space group ... I-42m (121)
ΔE_f ... 341 meV/atom
Magnetic moment ... 0.0000 μB per atom
Final energy ... -4.569 eV/atom

Cell lengths 7.655, 7.655, 8.769 Å; angles 115.88, 115.88, 90.00 degrees
Fractional coordinates of all 11 atoms:
1 Sm 0.913 0.913 0.162
2 Sm 0.087 0.750 0.838
3 Sm 0.750 0.087 0.838
4 Sm 0.250 0.250 0.162
5 Pr 0.500 0.000 0.000
6 Pr 0.915 0.464 0.378
7 Pr 0.000 0.500 0.000
8 Pr 0.085 0.085 0.622
9 Pr 0.536 0.536 0.622
10 Pr 0.464 0.915 0.378
11 Y 0.500 0.500 0.000

***

[2]
# Pr4SmY4

A relaxed structure of Pr4SmY4 (GGA-PBE, the Alexandria database).

## Properties
Density of states at the Fermi level ... 13.6 states/eV/cell
Space group ... I4/mmm (139)
ΔE_f ... 16 meV/atom
Magnetic moment ... 0.0000 μB per atom
Final energy ... -5.505 eV/atom

Cell lengths 5.144, 8.146, 8.146 Å; angles 84.28, 71.59, 71.59 degrees
Fractional coordinates of all 9 atoms:
1 Pr 0.669 0.331 0.331
2 Pr 0.000 0.669 0.331
3 Pr 0.000 0.331 0.669
4 Pr 0.331 0.669 0.669
5 Sm 0.000 0.000 0.000
6 Y 0.334 0.000 0.332
7 Y 0.334 0.332 0.000
8 Y 0.666 0.000 0.668
9 Y 0.666 0.668 0.000